A plane-wave DFT calculation with PBEsol was carried out for an optimized crystal structure of AgIrNF2.

Calculated values
For the density of states at the Fermi level, the calculation gives 1.65 states/eV/f.u. The crystal system is tetragonal. The formation energy from raw total energies comes out at -0.18 eV/atom.

Unit cell a=4.354 b=4.354 c=3.649 alpha=90.00 beta=90.00 gamma=90.00
Fractional coordinates of all 5 atoms:
Ag 0.000 0.000 0.000
Ir 0.500 0.500 0.500
N 0.500 0.500 0.000
F 0.000 0.500 0.500
F 0.500 0.000 0.500


A plane-wave DFT calculation with PBEsol was carried out for an optimized crystal structure of KMgTl.

Calculated values
For the density of states at the Fermi level, the calculation gives 1.34 states/eV/f.u. The value obtained for the formation enthalpy at 0 K is -0.01 eV/atom. The crystal system is tetragonal.

Unit cell a=3.952 b=3.952 c=12.860 alpha=90.00 beta=90.00 gamma=90.00
Fractional coordinates of all 6 atoms:
K 0.000 0.000 0.000
K 0.500 0.500 0.500
Mg 0.000 0.000 0.284
Mg 0.500 0.500 0.784
Tl 0.000 0.000 0.699
Tl 0.500 0.500 0.199


A plane-wave DFT calculation with PBEsol was carried out for an optimized crystal structure of LiHfP2Ru.

Calculated values
For the density of states at the Fermi level, the calculation gives 4.61 states/eV/f.u. The value obtained for the formation enthalpy at 0 K is 0.73 eV/atom. The crystal system is tetragonal.

Unit cell a=4.932 b=4.932 c=4.742 alpha=90.00 beta=90.00 gamma=90.00
Fractional coordinates of all 5 atoms:
Li 0.000 0.000 0.000
Hf 0.500 0.500 0.500
P 0.000 0.500 0.500
P 0.500 0.000 0.500
Ru 0.500 0.500 0.000


A plane-wave DFT calculation with PBEsol was carried out for an optimized crystal structure of Zn2ReSi.

Calculated values
For the density of states at the Fermi level, the calculation gives 1.55 states/eV/f.u. The crystal system is tetragonal. The formation energy from raw total energies comes out at 0.06 eV/atom.

Unit cell a=3.709 b=3.709 c=7.766 alpha=90.00 beta=90.00 gamma=90.00
Fractional coordinates of all 8 atoms:
Zn 0.000 0.000 0.000
Zn 0.000 0.500 0.250
Zn 0.500 0.000 0.750
Zn 0.500 0.500 0.500
Re 0.000 0.000 0.500
Re 0.500 0.500 0.000
Si 0.000 0.500 0.750
Si 0.500 0.000 0.250


A plane-wave DFT calculation with PBEsol was carried out for an optimized crystal structure of ZrCrOs2.

Calculated values
For the density of states at the Fermi level, the calculation gives 4.14 states/eV/f.u. The value obtained for the formation enthalpy at 0 K is 0.12 eV/atom. The crystal system is orthorhombic.

Unit cell a=3.074 b=4.401 c=8.781 alpha=90.00 beta=90.00 gamma=90.00
Fractional coordinates of all 8 atoms:
Zr 0.000 0.000 0.000
Zr 0.500 0.500 0.500
Cr 0.000 0.500 0.747
Cr 0.500 0.000 0.247
Os 0.000 0.000 0.478
Os 0.000 0.500 0.241
Os 0.500 0.000 0.741
Os 0.500 0.500 0.978


A plane-wave DFT calculation with PBEsol was carried out for an optimized crystal structure of AlSb2P.

Calculated values
For the density of states at the Fermi level, the calculation gives 1.13 states/eV/f.u. The crystal system is tetragonal. The calculation puts the energy above the most stable polymorph in this dataset at 7.22 kJ per mole of atoms. The formation energy from raw total energies comes out at 0.06 eV/atom.

Unit cell a=3.953 b=3.953 c=5.850 alpha=90.00 beta=90.00 gamma=90.00
Fractional coordinates of all 4 atoms:
Al 0.000 0.000 0.000
Sb 0.000 0.000 0.477
Sb 0.500 0.500 0.955
P 0.500 0.500 0.520


A plane-wave DFT calculation with PBEsol was carried out for an optimized crystal structure of CrFe2Ru.

Calculated values
For the density of states at the Fermi level, the calculation gives 4.70 states/eV/f.u. The value obtained for the formation enthalpy at 0 K is 0.14 eV/atom. The crystal system is tetragonal.

Unit cell a=2.527 b=2.527 c=7.045 alpha=90.00 beta=90.00 gamma=90.00
Fractional coordinates of all 4 atoms:
Cr 0.000 0.000 0.000
Fe 0.000 0.000 0.470
Fe 0.500 0.500 0.237
Ru 0.500 0.500 0.730


A plane-wave DFT calculation with PBEsol was carried out for an optimized crystal structure of CdGa2Br.

Calculated values
For the density of states at the Fermi level, the calculation gives 2.65 states/eV/f.u. The crystal system is cubic. The formation energy from raw total energies comes out at 0.08 eV/atom.

Unit cell a=7.125 b=7.125 c=7.125 alpha=90.00 beta=90.00 gamma=90.00
Fractional coordinates of all 16 atoms:
Cd 0.000 0.000 0.000
Cd 0.000 0.500 0.500
Cd 0.500 0.000 0.500
Cd 0.500 0.500 0.000
Ga 0.250 0.250 0.250
Ga 0.250 0.250 0.750
Ga 0.250 0.750 0.250
Ga 0.250 0.750 0.750
Ga 0.750 0.250 0.250
Ga 0.750 0.250 0.750
Ga 0.750 0.750 0.250
Ga 0.750 0.750 0.750
Br 0.000 0.000 0.500
Br 0.000 0.500 0.000
Br 0.500 0.000 0.000
Br 0.500 0.500 0.500


A plane-wave DFT calculation with PBEsol was carried out for an optimized crystal structure of TiAl3Br.

Calculated values
For the density of states at the Fermi level, the calculation gives 6.03 states/eV/f.u. The crystal system is cubic. The formation energy from raw total energies comes out at 0.80 eV/atom.

Unit cell a=5.173 b=5.173 c=5.173 alpha=90.00 beta=90.00 gamma=90.00
Fractional coordinates of all 5 atoms:
Ti 0.000 0.000 0.000
Al 0.000 0.000 0.500
Al 0.000 0.500 0.000
Al 0.500 0.000 0.000
Br 0.500 0.500 0.500


A plane-wave DFT calculation with PBEsol was carried out for an optimized crystal structure of YPbBr2.

Calculated values
For the density of states at the Fermi level, the calculation gives 1.52 states/eV/f.u. The crystal system is monoclinic. The calculation puts the energy above the most stable polymorph in this dataset at 17.88 kJ per mole of atoms. The formation energy from raw total energies comes out at -0.86 eV/atom.

Unit cell a=3.780 b=4.958 c=5.858 alpha=90.00 beta=91.23 gamma=90.00
Fractional coordinates of all 4 atoms:
Y 0.000 0.000 0.000
Pb 0.500 0.000 0.500
Br 0.196 0.500 0.761
Br 0.804 0.500 0.239


A plane-wave DFT calculation with PBEsol was carried out for an optimized crystal structure of CsZnReI2.

Calculated values
For the density of states at the Fermi level, the calculation gives 9.02 states/eV/f.u. The crystal system is tetragonal. The formation energy from raw total energies comes out at 1.67 eV/atom.

Unit cell a=6.952 b=6.952 c=6.716 alpha=90.00 beta=90.00 gamma=90.00
Fractional coordinates of all 5 atoms:
Cs 0.000 0.000 0.000
Zn 0.500 0.500 0.500
Re 0.000 0.000 0.500
I 0.000 0.500 0.000
I 0.500 0.000 0.000


A plane-wave DFT calculation with PBEsol was carried out for an optimized crystal structure of CaZn.

Calculated values
For the density of states at the Fermi level, the calculation gives 1.26 states/eV/f.u. The value obtained for the formation enthalpy at 0 K is -0.21 eV/atom. The crystal system is cubic.

Unit cell a=3.612 b=3.612 c=3.612 alpha=90.00 beta=90.00 gamma=90.00
Fractional coordinates of all 2 atoms:
Ca 0.000 0.000 0.000
Zn 0.500 0.500 0.500